Material: Co2AuCl
Method: DFT, PBE
State: relaxed

abc: 2.931 2.931 6.790
angles: 90.00 90.00 90.00
Positions (direct):
Co: 0.000 0.000 0.991
Co: 0.000 0.000 0.509
Au: 0.500 0.500 0.250
Cl: 0.500 0.500 0.750

**Formation energy from raw total energies**: 0.43 eV/atom
**Crystal system**: tetragonal
**Calculated volume**: 14.58 Å³ per atom
**E_tot**: -4.400 eV per atom
**Size of the total moment**: 3.82 Bohr magnetons per cell
**Excess energy over the best structure of this formula in the dataset**: 0.98 eV/f.u.